! YScSi4 | the Alexandria database | GGA-PBE | relaxed; values from VASP
! energy relative to the elements, uncorrected	-1.73	eV/f.u.
! relative energy among the computed polymorphs	131	meV per atom
! magnetic moment	0.0	Bohr magnetons per cell
&SYSTEM
  ibrav = 0, nat = 6, ntyp = 3
/
ATOMIC_SPECIES
Y 88.91 Y.upf
Sc 44.96 Sc.upf
Si 28.09 Si.upf
CELL_PARAMETERS angstrom
0.000 3.699 3.699
3.699 0.000 3.699
3.699 3.699 0.000
ATOMIC_POSITIONS angstrom
Y 0.000 0.000 0.000
Sc 5.549 5.549 5.549
Si 2.788 2.788 2.788
Si 4.611 4.611 2.788
Si 4.611 2.788 4.611
Si 2.788 4.611 4.611

! YScSi2 | the Alexandria database | GGA-PBE | relaxed; values from VASP
! energy relative to the elements, uncorrected	-1.45	eV/f.u.
! relative energy among the computed polymorphs	450	meV per atom
! magnetic moment	0.0	Bohr magnetons per cell
&SYSTEM
  ibrav = 0, nat = 4, ntyp = 3
/
ATOMIC_SPECIES
Y 88.91 Y.upf
Sc 44.96 Sc.upf
Si 28.09 Si.upf
CELL_PARAMETERS angstrom
1.987 1.147 6.455
-1.987 1.147 6.455
0.000 -2.295 6.455
ATOMIC_POSITIONS angstrom
Y 0.000 0.000 0.000
Sc 0.000 0.000 3.620
Si 0.000 0.000 8.342
Si 0.000 0.000 14.887